The following is a GGA-PBE calculation of a relaxed Ca2CoBiBr crystal, from Alexandria.

The space group is P4/mmm (No. 123) and the conventional cell measures 6.065, 6.065 and 5.860 Å, with angles of 90.00, 90.00 and 90.00 degrees. Symmetry generates all atoms from Ca at (0.000, 0.500, 0.000), Co at (0.000, 0.000, 0.500), Bi at (0.500, 0.500, 0.000) and Br at (0.500, 0.500, 0.500).

The formation energy from raw total energies is 414 meV per atom.



The following is a GGA-PBE calculation of a relaxed CaCoBi2Br crystal, from Alexandria.

The space group is P4/mmm (No. 123) and the conventional cell measures 5.771, 5.771 and 5.247 Å, with angles of 90.00, 90.00 and 90.00 degrees. Symmetry generates all atoms from Ca at (0.000, 0.000, 0.000), Co at (0.500, 0.500, 0.000), Bi at (0.000, 0.500, 0.500) and Br at (0.000, 0.000, 0.500).

The formation energy from raw total energies is 747 meV per atom.



The following is a GGA-PBE calculation of a relaxed CsCa2BiBr8 crystal, from Alexandria.

The space group is P-1 (No. 2) and the conventional cell measures 6.899, 7.136 and 9.362 Å, with angles of 89.93, 89.90 and 89.16 degrees. Symmetry generates all atoms from Cs at (0.000, 0.000, 0.000), Ca at (0.500, 0.500, 0.247), Bi at (0.000, 0.000, 0.500), Br at (0.254, 0.336, 0.500), Br at (0.258, 0.836, 0.708), Br at (0.259, 0.837, 0.291) and Br at (0.269, 0.400, 0.000).

The formation energy from raw total energies is -1501 meV per atom.



The following is a GGA-PBE calculation of a relaxed CsCaBiBr6 crystal, from Alexandria.

The space group is P312 (No. 149) and the conventional cell measures 7.5801, 7.5801 and 8.0656 Å, with angles of 90.00, 90.00 and 120.00 degrees. Symmetry generates all atoms from Cs at (0.0000, 0.0000, 0.0000), Ca at (0.6667, 0.3333, 0.5000), Bi at (0.3333, 0.6667, 0.5000) and Br at (0.0026, 0.3783, 0.2918).

The formation energy from raw total energies is -1445 meV per atom.



We obtain electronic total energy values of -14.59 -14.81 -40.13 -29.78 eV/cell for the records listed above, in that order.
We obtain magnetization values of 0.365 0.457 0.000 0.000 μB/atom for the records listed above, in that order.